Below is a relaxed structure of CuReP2C, with properties calculated at the PBE level.

Cell lengths 4.693, 4.693, 3.907 Å; angles 90.00, 90.00, 90.00 degrees
Fractional positions:
Cu1 0.000 0.000 0.000
Re1 0.500 0.500 0.500
P1 0.000 0.500 0.500
P2 0.500 0.000 0.500
C1 0.500 0.500 0.000

Output
As for the crystal system: tetragonal. As for the symmetry: P4/mmm (123). The value obtained for the calculated formation energy is 1.11 eV per atom. As for the total moment: 0.00 Bohr magnetons per cell. The value obtained for the density of states at the Fermi level is 3.40 states/eV/cell.